First-principles (PBE) data for an optimized crystal structure of Rb3Hg2, as listed in the Alexandria database.

Cell: 8.936 8.936 9.650 Å, 62.42 62.42 60.00°
Sites, in units of the cell vectors:
Hg (0.812, 0.812, 0.564)
Hg (0.312, 0.312, 0.064)
Hg (0.188, 0.188, 0.436)
Hg (0.688, 0.688, 0.936)
Rb (0.134, 0.750, 0.750)
Rb (0.750, 0.366, 0.750)
Rb (0.366, 0.134, 0.750)
Rb (0.250, 0.634, 0.250)
Rb (0.634, 0.866, 0.250)
Rb (0.866, 0.250, 0.250)

Output
ΔE to the lowest computed polymorph = 19.1 meV/atom
energy = -8.6 eV per cell
SG = R-3c (167)

***

First-principles (PBE) data for an optimized crystal structure of Rb4Hg, as listed in the Alexandria database.

Cell: 7.243 7.243 7.243 Å, 90.00 90.00 90.00°
Sites, in units of the cell vectors:
Hg (0.500, 0.500, 0.500)
Rb (0.000, 0.000, 0.000)
Rb (0.500, 0.000, 0.500)
Rb (0.000, 0.500, 0.500)
Rb (0.500, 0.500, 0.000)

Output
ΔE to the lowest computed polymorph = 12.0 meV/atom
energy = -4.6 eV per cell
SG = Pm-3m (221)

***

First-principles (PBE) data for an optimized crystal structure of Rb2Hg17, as listed in the Alexandria database.

Cell: 8.640 8.640 8.640 Å, 75.69 75.69 75.69°
Sites, in units of the cell vectors:
Rb (0.318, 0.318, 0.318)
Rb (0.682, 0.682, 0.682)
Hg (0.621, 0.621, 0.154)
Hg (0.154, 0.621, 0.621)
Hg (0.905, 0.905, 0.905)
Hg (0.095, 0.095, 0.095)
Hg (0.000, 0.000, 0.500)
Hg (0.000, 0.500, 0.000)
Hg (0.500, 0.000, 0.000)
Hg (0.294, 0.706, 0.000)
Hg (0.706, 0.000, 0.294)
Hg (0.000, 0.294, 0.706)
Hg (0.706, 0.294, 0.000)
Hg (0.294, 0.000, 0.706)
Hg (0.000, 0.706, 0.294)
Hg (0.846, 0.379, 0.379)
Hg (0.379, 0.379, 0.846)
Hg (0.379, 0.846, 0.379)
Hg (0.621, 0.154, 0.621)

Output
energy = -9.3 eV per cell
SG = R-3m (166)

***

First-principles (PBE) data for an optimized crystal structure of Rb3Hg, as listed in the Alexandria database.

Cell: 7.949 15.746 15.746 Å, 90.00 90.00 90.00°
Sites, in units of the cell vectors:
Rb (0.024, 0.278, 0.832)
Rb (0.024, 0.722, 0.168)
Rb (0.524, 0.668, 0.778)
Rb (0.524, 0.332, 0.222)
Rb (0.476, 0.222, 0.668)
Rb (0.476, 0.778, 0.332)
Rb (0.976, 0.832, 0.722)
Rb (0.976, 0.168, 0.278)
Rb (0.529, 0.381, 0.918)
Rb (0.529, 0.619, 0.082)
Rb (0.029, 0.582, 0.881)
Rb (0.029, 0.418, 0.119)
Rb (0.971, 0.119, 0.582)
Rb (0.971, 0.881, 0.418)
Rb (0.471, 0.918, 0.619)
Rb (0.471, 0.082, 0.381)
Rb (0.728, 0.038, 0.868)
Rb (0.728, 0.962, 0.132)
Rb (0.228, 0.632, 0.538)
Rb (0.228, 0.368, 0.462)
Rb (0.772, 0.462, 0.632)
Rb (0.772, 0.538, 0.368)
Rb (0.272, 0.868, 0.962)
Rb (0.272, 0.132, 0.038)
Hg (0.780, 0.787, 0.951)
Hg (0.780, 0.213, 0.049)
Hg (0.280, 0.549, 0.287)
Hg (0.280, 0.451, 0.713)
Hg (0.720, 0.713, 0.549)
Hg (0.720, 0.287, 0.451)
Hg (0.220, 0.951, 0.213)
Hg (0.220, 0.049, 0.787)

Output
energy = -29.4 eV per cell
SG = P4_2/n (86)

***

First-principles (PBE) data for an optimized crystal structure of RbHg13, as listed in the Alexandria database.

Cell: 10.796 10.796 10.796 Å, 60.00 60.00 60.00°
Sites, in units of the cell vectors:
Rb (0.750, 0.750, 0.750)
Rb (0.250, 0.250, 0.250)
Hg (0.442, 0.558, 0.198)
Hg (0.198, 0.802, 0.442)
Hg (0.802, 0.198, 0.558)
Hg (0.558, 0.442, 0.802)
Hg (0.558, 0.802, 0.198)
Hg (0.802, 0.558, 0.442)
Hg (0.198, 0.442, 0.558)
Hg (0.442, 0.198, 0.802)
Hg (0.802, 0.442, 0.198)
Hg (0.558, 0.198, 0.442)
Hg (0.442, 0.802, 0.558)
Hg (0.198, 0.558, 0.802)
Hg (0.302, 0.942, 0.058)
Hg (0.058, 0.698, 0.302)
Hg (0.942, 0.302, 0.698)
Hg (0.698, 0.058, 0.942)
Hg (0.302, 0.698, 0.942)
Hg (0.058, 0.942, 0.698)
Hg (0.942, 0.058, 0.302)
Hg (0.698, 0.302, 0.058)
Hg (0.302, 0.058, 0.698)
Hg (0.058, 0.302, 0.942)
Hg (0.942, 0.698, 0.058)
Hg (0.698, 0.942, 0.302)
Hg (0.500, 0.500, 0.500)
Hg (0.000, 0.000, 0.000)

Output
energy = -11.7 eV per cell
SG = Fm-3c (226)

***

First-principles (PBE) data for an optimized crystal structure of Rb2Hg, as listed in the Alexandria database.

Cell: 8.692 8.692 8.692 Å, 60.00 60.00 60.00°
Sites, in units of the cell vectors:
Hg (0.000, 0.000, 0.000)
Hg (0.250, 0.250, 0.250)
Rb (0.125, 0.625, 0.625)
Rb (0.625, 0.125, 0.625)
Rb (0.625, 0.625, 0.625)
Rb (0.625, 0.625, 0.125)

Output
ΔE to the lowest computed polymorph = 283.5 meV/atom
energy = -3.8 eV per cell
SG = Fd-3m (227)

***

First-principles (PBE) data for an optimized crystal structure of Rb7Hg, as listed in the Alexandria database.

Cell: 7.618 7.618 13.082 Å, 73.07 73.07 60.00°
Sites, in units of the cell vectors:
Rb (0.900, 0.900, 0.300)
Rb (0.767, 0.767, 0.698)
Rb (0.640, 0.640, 0.080)
Rb (0.500, 0.500, 0.500)
Rb (0.360, 0.360, 0.920)
Rb (0.233, 0.233, 0.302)
Rb (0.100, 0.100, 0.700)
Hg (0.000, 0.000, 0.000)

Output
energy = -7.2 eV per cell
SG = R-3m (166)

***

First-principles (PBE) data for an optimized crystal structure of Rb4Hg, as listed in the Alexandria database.

Cell: 8.091 9.315 11.084 Å, 114.85 111.41 90.00°
Sites, in units of the cell vectors:
Rb (0.668, 0.021, 0.336)
Rb (0.168, 0.315, 0.336)
Rb (0.423, 0.609, 0.846)
Rb (0.923, 0.237, 0.846)
Rb (0.577, 0.391, 0.154)
Rb (0.077, 0.763, 0.154)
Rb (0.832, 0.685, 0.664)
Rb (0.332, 0.979, 0.664)
Hg (0.750, 0.000, 0.000)
Hg (0.250, 0.000, 0.000)

Output
ΔE to the lowest computed polymorph = 0.2 meV/atom
energy = -9.2 eV per cell
SG = Ibam (72)

***

First-principles (PBE) data for an optimized crystal structure of RbHg11, as listed in the Alexandria database.

Cell: 8.981 10.155 10.155 Å, 78.72 63.76 63.76°
Sites, in units of the cell vectors:
Rb (0.500, 0.000, 0.000)
Rb (0.250, 0.500, 0.500)
Hg (0.419, 0.821, 0.422)
Hg (0.662, 0.179, 0.578)
Hg (0.000, 0.000, 0.000)
Hg (0.750, 0.500, 0.500)
Hg (0.375, 0.750, 0.750)
Hg (0.875, 0.750, 0.250)
Hg (0.875, 0.250, 0.750)
Hg (0.875, 0.250, 0.250)
Hg (0.419, 0.422, 0.821)
Hg (0.990, 0.679, 0.922)
Hg (0.591, 0.321, 0.078)
Hg (0.662, 0.578, 0.179)
Hg (0.760, 0.578, 0.821)
Hg (0.159, 0.422, 0.179)
Hg (0.088, 0.321, 0.922)
Hg (0.331, 0.679, 0.078)
Hg (0.331, 0.078, 0.679)
Hg (0.760, 0.821, 0.578)
Hg (0.159, 0.179, 0.422)
Hg (0.088, 0.922, 0.321)
Hg (0.990, 0.922, 0.679)
Hg (0.591, 0.078, 0.321)

Output
ΔE to the lowest computed polymorph = 21.2 meV/atom
energy = -10.7 eV per cell
SG = I4_1/amd (141)

***

First-principles (PBE) data for an optimized crystal structure of RbHg4, as listed in the Alexandria database.

Cell: 6.994 6.994 6.994 Å, 90.00 90.00 90.00°
Sites, in units of the cell vectors:
Hg (0.000, 0.000, 0.000)
Hg (0.500, 0.000, 0.500)
Hg (0.000, 0.500, 0.500)
Hg (0.500, 0.500, 0.000)
Rb (0.500, 0.500, 0.500)

Output
ΔE to the lowest computed polymorph = 308.0 meV/atom
energy = -1.6 eV per cell
SG = Pm-3m (221)

***

First-principles (PBE) data for an optimized crystal structure of Rb5Hg, as listed in the Alexandria database.

Cell: 6.614 6.614 10.233 Å, 108.85 90.00 90.00°
Sites, in units of the cell vectors:
Hg (0.000, 0.000, 0.000)
Rb (0.500, 0.848, 0.697)
Rb (0.000, 0.651, 0.302)
Rb (0.500, 0.500, 0.000)
Rb (0.000, 0.349, 0.698)
Rb (0.500, 0.152, 0.303)

Output
ΔE to the lowest computed polymorph = 43.5 meV/atom
energy = -5.3 eV per cell
SG = Cmmm (65)

***

First-principles (PBE) data for an optimized crystal structure of Rb2Hg3, as listed in the Alexandria database.

Cell: 6.598 7.057 9.727 Å, 90.00 90.00 117.87°
Sites, in units of the cell vectors:
Rb (0.158, 0.316, 0.598)
Rb (0.842, 0.684, 0.402)
Rb (0.342, 0.684, 0.098)
Rb (0.658, 0.316, 0.902)
Hg (0.500, 0.000, 0.500)
Hg (0.000, 0.000, 0.000)
Hg (0.654, 0.807, 0.750)
Hg (0.846, 0.193, 0.250)
Hg (0.154, 0.807, 0.750)
Hg (0.346, 0.193, 0.250)

Output
ΔE to the lowest computed polymorph = 0.0 meV/atom
energy = -8.1 eV per cell
SG = Cmce (64)

***

First-principles (PBE) data for an optimized crystal structure of Rb3Hg, as listed in the Alexandria database.

Cell: 4.877 4.664 12.371 Å, 90.00 90.00 90.00°
Sites, in units of the cell vectors:
Hg (0.000, 0.000, 0.991)
Rb (0.000, 0.500, 0.455)
Rb (0.500, 0.500, 0.125)
Rb (0.500, 0.000, 0.763)

Output
energy = -3.4 eV per cell
SG = Pmm2 (25)

***

First-principles (PBE) data for an optimized crystal structure of Rb8Hg3, as listed in the Alexandria database.

Cell: 8.956 8.956 8.956 Å, 89.97 89.97 89.97°
Sites, in units of the cell vectors:
Rb (0.746, 0.254, 0.746)
Rb (0.746, 0.746, 0.254)
Rb (0.254, 0.746, 0.746)
Rb (0.746, 0.746, 0.746)
Rb (0.254, 0.254, 0.254)
Rb (0.746, 0.254, 0.254)
Rb (0.254, 0.254, 0.746)
Rb (0.254, 0.746, 0.254)
Hg (0.000, 0.500, 0.500)
Hg (0.500, 0.000, 0.500)
Hg (0.500, 0.500, 0.000)

Output
energy = -9.7 eV per cell
SG = Pm-3m (221)

***

First-principles (PBE) data for an optimized crystal structure of Rb2Hg3, as listed in the Alexandria database.

Cell: 8.827 8.827 8.853 Å, 60.10 60.10 60.00°
Sites, in units of the cell vectors:
Hg (0.956, 0.750, 0.750)
Hg (0.750, 0.544, 0.750)
Hg (0.544, 0.956, 0.750)
Hg (0.250, 0.456, 0.250)
Hg (0.456, 0.044, 0.250)
Hg (0.044, 0.250, 0.250)
Rb (0.900, 0.900, 0.299)
Rb (0.400, 0.400, 0.799)
Rb (0.100, 0.100, 0.701)
Rb (0.600, 0.600, 0.201)

Output
ΔE to the lowest computed polymorph = 103.4 meV/atom
energy = -7.0 eV per cell
SG = R-3c (167)

***

First-principles (PBE) data for an optimized crystal structure of Rb4Hg, as listed in the Alexandria database.

Cell: 9.759 9.759 9.770 Å, 105.44 105.44 117.84°
Sites, in units of the cell vectors:
Rb (0.623, 0.464, 0.765)
Rb (0.699, 0.858, 0.235)
Rb (0.802, 0.037, 0.841)
Rb (0.197, 0.961, 0.159)
Rb (0.287, 0.552, 0.341)
Rb (0.211, 0.947, 0.659)
Rb (0.108, 0.449, 0.735)
Rb (0.714, 0.373, 0.265)
Hg (0.331, 0.331, 0.000)
Hg (0.581, 0.081, 0.500)

Output
ΔE to the lowest computed polymorph = 0.0 meV/atom
energy = -9.2 eV per cell
SG = Fdd2 (43)

***

First-principles (PBE) data for an optimized crystal structure of Rb15Hg, as listed in the Alexandria database.

Cell: 9.922 9.922 15.765 Å, 90.00 90.00 120.00°
Sites, in units of the cell vectors:
Rb (0.000, 0.000, 0.500)
Rb (0.009, 0.505, 0.000)
Rb (0.991, 0.496, 0.500)
Rb (0.495, 0.991, 0.000)
Rb (0.504, 0.009, 0.500)
Rb (0.495, 0.505, 0.000)
Rb (0.504, 0.496, 0.500)
Rb (0.840, 0.160, 0.231)
Rb (0.840, 0.160, 0.769)
Rb (0.840, 0.680, 0.231)
Rb (0.840, 0.680, 0.769)
Rb (0.320, 0.160, 0.231)
Rb (0.320, 0.160, 0.769)
Rb (0.333, 0.667, 0.260)
Rb (0.333, 0.667, 0.740)
Hg (0.000, 0.000, 0.000)

Output
energy = -14.8 eV per cell
SG = P-6m2 (187)

***

First-principles (PBE) data for an optimized crystal structure of Rb13Hg2, as listed in the Alexandria database.

Cell: 12.423 12.423 11.334 Å, 56.77 56.77 60.00°
Sites, in units of the cell vectors:
Rb (0.500, 0.500, 0.500)
Rb (0.990, 0.623, 0.763)
Rb (0.623, 0.623, 0.763)
Rb (0.623, 0.990, 0.763)
Rb (0.377, 0.010, 0.237)
Rb (0.010, 0.377, 0.237)
Rb (0.377, 0.377, 0.237)
Rb (0.197, 0.793, 0.217)
Rb (0.793, 0.793, 0.217)
Rb (0.793, 0.197, 0.217)
Rb (0.207, 0.803, 0.783)
Rb (0.803, 0.207, 0.783)
Rb (0.207, 0.207, 0.783)
Hg (0.638, 0.638, 0.086)
Hg (0.362, 0.362, 0.914)

Output
ΔE to the lowest computed polymorph = 34.4 meV/atom
energy = -13.4 eV per cell
SG = R-3m (166)

***

First-principles (PBE) data for an optimized crystal structure of Rb2Hg, as listed in the Alexandria database.

Cell: 6.275 6.260 6.313 Å, 89.98 59.97 60.15°
Sites, in units of the cell vectors:
Rb (0.026, 0.728, 0.244)
Rb (0.030, 0.227, 0.740)
Hg (0.528, 0.978, 0.992)

Output
ΔE to the lowest computed polymorph = 33.3 meV/atom
energy = -2.6 eV per cell
SG = P-1 (2)

***

First-principles (PBE) data for an optimized crystal structure of Rb5Hg, as listed in the Alexandria database.

Cell: 5.495 11.404 13.844 Å, 90.00 90.00 90.00°
Sites, in units of the cell vectors:
Rb (0.000, 0.415, 0.250)
Rb (0.000, 0.585, 0.750)
Rb (0.000, 0.000, 0.000)
Rb (0.000, 0.000, 0.500)
Rb (0.500, 0.062, 0.250)
Rb (0.500, 0.938, 0.750)
Rb (0.500, 0.687, 0.079)
Rb (0.500, 0.313, 0.921)
Rb (0.500, 0.687, 0.421)
Rb (0.500, 0.313, 0.579)
Hg (0.000, 0.821, 0.250)
Hg (0.000, 0.179, 0.750)

Output
ΔE to the lowest computed polymorph = 0.0 meV/atom
energy = -11.1 eV per cell
SG = Pmma (51)